This record from Alexandria describes an optimized crystal structure of Li2MnP2O7. The functional is PBE+U.

Summary:
Total magnetization = 20.0 μB/cell
E_tot = -334.83 eV/cell
Density of states at the Fermi level = 0.000 states/eV/atom
Crystal system = monoclinic
Distance to the lowest polymorph of the same formula = 24 meV per atom

a = 5.143 Å, b = 8.011 Å, c = 14.031 Å
α = 90.00°, β = 90.00°, γ = 92.51°
Element x y z (fractional)
O1 0.589 0.823 0.968
O2 0.926 0.169 0.727
O3 0.638 0.381 0.599
O4 0.411 0.177 0.032
P1 0.206 0.720 0.473
O5 0.965 0.544 0.798
O6 0.644 0.640 0.187
Mn1 0.284 0.274 0.664
O7 0.074 0.831 0.273
O8 0.823 0.219 0.928
O9 0.911 0.677 0.468
O10 0.856 0.860 0.687
Li1 0.182 0.140 0.912
Li2 0.682 0.640 0.588
P2 0.794 0.280 0.527
Mn2 0.216 0.226 0.164
O11 0.769 0.082 0.562
O12 0.138 0.881 0.901
O13 0.144 0.140 0.313
O14 0.177 0.781 0.072
Li3 0.749 0.169 0.312
O15 0.862 0.119 0.099
P3 0.754 0.037 0.674
Li4 0.251 0.831 0.688
O16 0.731 0.418 0.062
P4 0.246 0.963 0.326
O17 0.356 0.360 0.813
P5 0.254 0.537 0.826
P6 0.706 0.220 0.027
O18 0.426 0.669 0.773
O19 0.231 0.918 0.438
O20 0.362 0.619 0.401
Li5 0.818 0.860 0.088
O21 0.535 0.956 0.298
O22 0.465 0.044 0.702
O23 0.035 0.456 0.202
Li6 0.249 0.669 0.188
Li7 0.751 0.331 0.812
P7 0.746 0.463 0.174
P8 0.294 0.780 0.973
O24 0.089 0.323 0.532
Mn3 0.716 0.726 0.336
O25 0.677 0.281 0.428
O26 0.269 0.582 0.938
O27 0.323 0.719 0.572
Mn4 0.784 0.774 0.836
O28 0.574 0.331 0.227
Li8 0.318 0.360 0.412